# Dy4ErIr5

Crystalline Dy4ErIr5 at its relaxed geometry (PBE-GGA, the Alexandria database).

Cell: 3.3475 3.3475 17.8302 Å, 90.00 90.00 90.00°
Positions (direct):
Ir  0.5000  0.5000  0.0982
Er  0.0000  0.0000  0.0000
Dy  0.0000  0.0000  0.3997
Dy  0.0000  0.0000  0.1990
Ir  0.5000  0.5000  0.9018
Ir  0.5000  0.5000  0.2993
Ir  0.5000  0.5000  0.5000
Ir  0.5000  0.5000  0.7007
Dy  0.0000  0.0000  0.6003
Dy  0.0000  0.0000  0.8010

Computed properties:
Total magnetization (μB per formula unit): 0.00
ΔE_f (kJ/mol of formula units): -791